{"formula": "Tb3Sm2Tl", "functional": "PBE", "state": "optimized geometry", "cell": [[4.923, 0.000, 0.000], [0.000, 4.631, -1.566], [0.000, 0.138, 8.041]], "species": ["Tb", "Tb", "Tb", "Sm", "Sm", "Tl"], "frac_coords": [[0.500, 0.167, 0.333], [0.500, 0.500, 0.000], [0.500, 0.833, 0.667], [0.000, 0.662, 0.325], [0.000, 0.338, 0.675], [0.000, 0.000, 0.000]], "space_group": "No. 65", "m_tot_mub_per_cell": 0.00, "dos_at_fermi_per_ev_cell": 7.45, "formation_enthalpy_0k_kcal_per_mol_atoms": -2.358, "relative_energy_mev_per_atom": 0}

{"formula": "Tb4SmTl2", "functional": "PBE", "state": "optimized geometry", "cell": [[5.181, 0.000, 0.000], [2.591, 4.487, 0.000], [2.591, 1.496, 10.206]], "species": ["Tb", "Tb", "Tb", "Tb", "Sm", "Tl", "Tl"], "frac_coords": [[0.707, 0.707, 0.879], [0.887, 0.887, 0.338], [0.293, 0.293, 0.121], [0.113, 0.113, 0.662], [0.500, 0.500, 0.500], [0.602, 0.602, 0.194], [0.398, 0.398, 0.806]], "space_group": "No. 166", "m_tot_mub_per_cell": 0.42, "dos_at_fermi_per_ev_cell": 9.27, "formation_enthalpy_0k_kcal_per_mol_atoms": 2.075, "relative_energy_mev_per_atom": 215}

{"formula": "Tb5Sm12Tl2", "functional": "PBE", "state": "optimized geometry", "cell": [[9.408, 0.000, 0.000], [-4.704, 7.599, 1.523], [0.000, -1.252, 8.436]], "species": ["Tb", "Tb", "Tb", "Tb", "Tb", "Sm", "Sm", "Sm", "Sm", "Sm", "Sm", "Sm", "Sm", "Sm", "Sm", "Sm", "Sm", "Tl", "Tl"], "frac_coords": [[0.233, 0.466, 0.415], [0.314, 0.628, 0.005], [0.000, 0.000, 0.500], [0.686, 0.372, 0.995], [0.767, 0.534, 0.585], [0.083, 0.166, 0.116], [0.182, 0.753, 0.657], [0.571, 0.753, 0.657], [0.035, 0.700, 0.235], [0.665, 0.700, 0.235], [0.555, 0.111, 0.681], [0.445, 0.889, 0.319], [0.965, 0.300, 0.765], [0.335, 0.300, 0.765], [0.818, 0.247, 0.343], [0.429, 0.247, 0.343], [0.917, 0.834, 0.884], [0.685, 0.000, 0.000], [0.315, 0.000, 0.000]], "space_group": "No. 12", "m_tot_mub_per_cell": 0.00, "dos_at_fermi_per_ev_cell": 27.29, "formation_enthalpy_0k_kcal_per_mol_atoms": 0.364}

{"formula": "Tb2Sm3Tl4", "functional": "PBE", "state": "optimized geometry", "cell": [[-4.274, -1.715, -2.737], [-0.327, -5.128, -1.516], [-4.847, -2.366, 9.055]], "species": ["Tb", "Tb", "Sm", "Sm", "Sm", "Tl", "Tl", "Tl", "Tl"], "frac_coords": [[0.334, 0.334, 0.222], [0.666, 0.666, 0.778], [0.333, 0.333, 0.578], [0.000, 0.000, 0.000], [0.667, 0.667, 0.422], [0.667, 0.667, 0.102], [0.000, 0.000, 0.655], [0.000, 0.000, 0.345], [0.333, 0.333, 0.898]], "space_group": "No. 164", "m_tot_mub_per_cell": 0.00, "dos_at_fermi_per_ev_cell": 8.39, "formation_enthalpy_0k_kcal_per_mol_atoms": -7.089, "relative_energy_mev_per_atom": 0}